[1]
Density functional theory data (PBE) for crystalline Cu2ReBiTe at its relaxed geometry.

Cell lengths 4.853, 4.853, 5.249 Å; angles 90.00, 90.00, 90.00 degrees
Fractional coordinates of all 5 atoms:
Cu: 0.000 0.500 0.000
Cu: 0.500 0.000 0.000
Re: 0.000 0.000 0.000
Bi: 0.000 0.000 0.500
Te: 0.500 0.500 0.500

Results
Space-group type: No. 123
Calculated density, g/cm3: 8.731
V, Å³/cell: 124
Energy, hartree per atom: -0.162
D(E_F), states/eV/atom: 0.98

[2]
Density functional theory data (PBE) for crystalline Dy8InSn5 at its relaxed geometry.

Cell lengths 8.049, 8.049, 8.049 Å; angles 109.48, 109.48, 109.45 degrees
Fractional coordinates of all 14 atoms:
Dy: 0.122 0.374 0.107
Dy: 0.124 0.377 0.607
Dy: 0.267 0.014 0.893
Dy: 0.483 0.876 0.253
Dy: 0.623 0.230 0.747
Dy: 0.626 0.733 0.747
Dy: 0.770 0.517 0.393
Dy: 0.986 0.878 0.253
In: 0.500 0.500 0.000
Sn: 0.250 0.750 0.500
Sn: 0.376 0.252 0.375
Sn: 0.748 0.123 0.124
Sn: 0.877 0.001 0.625
Sn: 0.999 0.624 0.876

Results
Space-group type: No. 82
ΔH_f (0 K), eV per formula unit: -9.15
Calculated density, g/cm3: 8.309
V, Å³/cell: 401
Energy, hartree per atom: -0.180
D(E_F), states/eV/atom: 0.67